No. 1
## CaPmAsSe (PBE)

Data for a geometry-optimized CaPmAsSe structure.

a = 4.2482 Å, b = 4.2482 Å, c = 20.8242 Å
α = 90.00°, β = 90.00°, γ = 120.00°
Last column: nearest neighbours and their distance in Å.
Atoms (fractional coordinates):
Ca1 0.0000 0.0000 0.0000  3 As 3.00, 3 Se 3.04
Ca2 0.3333 0.6667 0.6667  3 As 3.00, 3 Se 3.04
Ca3 0.6667 0.3333 0.3333  3 As 3.00, 3 Se 3.04
Pm1 0.0000 0.0000 0.4925  3 As 2.92, 3 Se 3.06
Pm2 0.3333 0.6667 0.1592  3 As 2.92, 3 Se 3.06
Pm3 0.6667 0.3333 0.8259  3 As 2.92, 3 Se 3.06
As1 0.0000 0.0000 0.7494  3 Pm 2.92, 3 Ca 3.00
As2 0.3333 0.6667 0.4161  3 Pm 2.92, 3 Ca 3.00
As3 0.6667 0.3333 0.0827  3 Pm 2.92, 3 Ca 3.00
Se1 0.0000 0.0000 0.2471  3 Ca 3.04, 3 Pm 3.06
Se2 0.3333 0.6667 0.9138  3 Ca 3.04, 3 Pm 3.06
Se3 0.6667 0.3333 0.5805  3 Ca 3.04, 3 Pm 3.06

Calculated values
Crystal system = trigonal
Energy relative to the elements, uncorrected = -164.0 kJ/mol of atoms

=====

No. 2
## Zr3ZnPb (PBE)

Data for a geometry-optimized Zr3ZnPb structure.

a = 4.9967 Å, b = 4.9967 Å, c = 4.9967 Å
α = 90.00°, β = 90.00°, γ = 90.00°
Last column: nearest neighbours and their distance in Å.
Atoms (fractional coordinates):
Zr1 0.0000 0.0000 0.5000  2 Zn 2.50
Zr2 0.0000 0.5000 0.0000  2 Zn 2.50
Zr3 0.5000 0.0000 0.0000  2 Zn 2.50
Zn1 0.0000 0.0000 0.0000  6 Zr 2.50
Pb1 0.5000 0.5000 0.5000  12 Zr 3.53

Calculated values
Energy of formation = 0.3080 eV/atom
Crystal system = cubic
E above lowest polymorph = 0.00 eV/f.u.

=====

No. 3
## Ti7Ga5Sn (PBE)

Data for a geometry-optimized Ti7Ga5Sn structure.

a = 7.0276 Å, b = 7.0276 Å, c = 7.0276 Å
α = 136.19°, β = 99.16°, γ = 96.85°
Last column: nearest neighbours and their distance in Å.
Atoms (fractional coordinates):
Ti1 0.0000 0.0000 0.0000  1 Ti 2.43
Ti2 0.2610 0.2610 0.0000  1 Ti 2.43
Ti3 0.2686 0.6158 0.6528  5 Ga 2.75-2.84, 4 Ti 2.78-3.07
Ti4 0.4405 0.1134 0.3271  1 Ti 2.71, 5 Ga 2.74-2.79
Ti5 0.7862 0.1134 0.6729  1 Ti 2.71, 5 Ga 2.74-2.79
Ti6 0.8504 0.3504 0.5000  4 Ga 2.60, 4 Ti 2.71-2.84
Ti7 0.9630 0.6158 0.3472  5 Ga 2.75-2.84, 4 Ti 2.78-3.07
Ga1 0.1138 0.1179 0.4969  7 Ti 2.60-2.88, 3 Ga 2.62-2.66
Ga2 0.1138 0.6169 0.9959  7 Ti 2.60-2.88, 3 Ga 2.62-2.66
Ga3 0.3702 0.8702 0.5000  4 Ga 2.66, 6 Ti 2.75-2.81
Ga4 0.6210 0.1179 0.0041  7 Ti 2.60-2.88, 3 Ga 2.62-2.66
Ga5 0.6210 0.6169 0.5031  7 Ti 2.60-2.88, 3 Ga 2.62-2.66
Sn1 0.6516 0.6516 0.0000  9 Ti 3.08-3.25, 4 Ga 3.29

Calculated values
Energy of formation = -0.2695 eV/atom
Crystal system = orthorhombic

=====

No. 4
## EuYAlAg (PBE)

Data for a geometry-optimized EuYAlAg structure.

a = 7.4416 Å, b = 7.4416 Å, c = 7.4416 Å
α = 90.00°, β = 90.00°, γ = 90.00°
Last column: nearest neighbours and their distance in Å.
Atoms (fractional coordinates):
Eu1 0.0000 0.0000 0.0000  4 Al 3.22, 4 Ag 3.22
Eu2 0.0000 0.5000 0.5000  4 Al 3.22, 4 Ag 3.22
Eu3 0.5000 0.0000 0.5000  4 Al 3.22, 4 Ag 3.22
Eu4 0.5000 0.5000 0.0000  4 Al 3.22, 4 Ag 3.22
Y1 0.0000 0.0000 0.5000  4 Al 3.22, 4 Ag 3.22
Y2 0.0000 0.5000 0.0000  4 Al 3.22, 4 Ag 3.22
Y3 0.5000 0.0000 0.0000  4 Al 3.22, 4 Ag 3.22
Y4 0.5000 0.5000 0.5000  4 Ag 3.22, 4 Al 3.22
Al1 0.2500 0.2500 0.2500  4 Eu 3.22, 4 Y 3.22
Al2 0.2500 0.7500 0.7500  4 Eu 3.22, 4 Y 3.22
Al3 0.7500 0.2500 0.7500  4 Eu 3.22, 4 Y 3.22
Al4 0.7500 0.7500 0.2500  4 Eu 3.22, 4 Y 3.22
Ag1 0.2500 0.2500 0.7500  4 Eu 3.22, 4 Y 3.22
Ag2 0.2500 0.7500 0.2500  4 Eu 3.22, 4 Y 3.22
Ag3 0.7500 0.2500 0.2500  4 Eu 3.22, 4 Y 3.22
Ag4 0.7500 0.7500 0.7500  4 Y 3.22, 4 Eu 3.22

Calculated values
Energy of formation = -0.2698 eV/atom
Crystal system = cubic

=====

No. 5
## PmFe2Co9 (PBE)

Data for a geometry-optimized PmFe2Co9 structure.

a = 8.0662 Å, b = 8.0662 Å, c = 4.6982 Å
α = 90.00°, β = 90.00°, γ = 90.00°
Last column: nearest neighbours and their distance in Å.
Atoms (fractional coordinates):
Pm1 0.0000 0.0000 0.0000  16 Co 2.97-3.17, 4 Fe 3.24
Pm2 0.5000 0.5000 0.0000  16 Co 2.97-3.17, 4 Fe 3.24
Fe1 0.1145 0.3855 0.0000  12 Co 2.61-2.75, 1 Fe 2.61
Fe2 0.3855 0.8855 0.0000  12 Co 2.61-2.75, 1 Fe 2.61
Fe3 0.6145 0.1145 0.0000  12 Co 2.61-2.75, 1 Fe 2.61
Fe4 0.8855 0.6145 0.0000  12 Co 2.61-2.75, 1 Fe 2.61
Co1 0.0000 0.5000 0.5000  8 Co 2.35-2.38
Co2 0.0664 0.2157 0.5000  8 Co 2.35-2.57
Co3 0.1783 0.6783 0.2358  4 Co 2.22-2.42
Co4 0.1783 0.6783 0.7642  4 Co 2.22-2.42
Co5 0.2157 0.9336 0.5000  8 Co 2.35-2.57
Co6 0.2843 0.4336 0.5000  8 Co 2.35-2.57
Co7 0.3217 0.1783 0.2358  4 Co 2.22-2.42
Co8 0.3217 0.1783 0.7642  4 Co 2.22-2.42
Co9 0.4336 0.7157 0.5000  8 Co 2.35-2.57
Co10 0.5000 0.0000 0.5000  8 Co 2.35-2.38
Co11 0.5664 0.2843 0.5000  8 Co 2.35-2.57
Co12 0.6783 0.8217 0.2358  4 Co 2.22-2.42
Co13 0.6783 0.8217 0.7642  4 Co 2.22-2.42
Co14 0.7157 0.5664 0.5000  8 Co 2.35-2.57
Co15 0.7843 0.0664 0.5000  8 Co 2.35-2.57
Co16 0.8217 0.3217 0.2358  4 Co 2.22-2.42
Co17 0.8217 0.3217 0.7642  4 Co 2.22-2.42
Co18 0.9336 0.7843 0.5000  8 Co 2.35-2.57

Calculated values
Energy of formation = -0.0454 eV/atom
Crystal system = tetragonal

=====

No. 6
## TiV3Ru (PBE)

Data for a geometry-optimized TiV3Ru structure.

a = 4.3027 Å, b = 4.3027 Å, c = 4.3027 Å
α = 90.00°, β = 90.00°, γ = 90.00°
Last column: nearest neighbours and their distance in Å.
Atoms (fractional coordinates):
Ti1 0.0000 0.0000 0.0000  6 V 2.15
V1 0.0000 0.0000 0.5000  2 Ti 2.15
V2 0.0000 0.5000 0.0000  2 Ti 2.15
V3 0.5000 0.0000 0.0000  2 Ti 2.15
Ru1 0.5000 0.5000 0.5000  12 V 3.04

Calculated values
Energy of formation = 1.3062 eV/atom
Crystal system = cubic
E above lowest polymorph = 1.79 eV/f.u.

=====

No. 7
## Nd4Er4Sc (PBE)

Data for a geometry-optimized Nd4Er4Sc structure.

a = 12.2856 Å, b = 12.2856 Å, c = 12.2856 Å
α = 155.10°, β = 155.10°, γ = 35.50°
Last column: nearest neighbours and their distance in Å.
Atoms (fractional coordinates):
Nd1 0.1203 0.6268 0.0000  4 Er 3.41-3.50, 1 Sc 3.49, 4 Nd 3.70-3.79
Nd2 0.3732 0.3732 0.4935  4 Er 3.41-3.50, 1 Sc 3.49, 4 Nd 3.70-3.79
Nd3 0.6268 0.1203 0.0000  4 Er 3.41-3.50, 1 Sc 3.49, 4 Nd 3.70-3.79
Nd4 0.8797 0.8797 0.5065  4 Er 3.41-3.50, 1 Sc 3.49, 4 Nd 3.70-3.79
Er1 0.0000 0.5000 0.5000  2 Sc 2.65
Er2 0.2522 0.2522 0.0000  4 Nd 3.41-3.48, 4 Er 3.75
Er3 0.5000 0.0000 0.5000  2 Sc 2.65
Er4 0.7478 0.7478 0.0000  4 Nd 3.41-3.48, 4 Er 3.75
Sc1 0.0000 0.0000 0.0000  4 Er 2.65

Calculated values
Energy of formation = 0.6548 eV/atom
Crystal system = tetragonal
E above lowest polymorph = 5.61 eV/f.u.

=====

No. 8
## HoOsI (PBE)

Data for a geometry-optimized HoOsI structure.

a = 12.3463 Å, b = 12.3463 Å, c = 12.3463 Å
α = 19.66°, β = 19.66°, γ = 19.66°
Last column: nearest neighbours and their distance in Å.
Atoms (fractional coordinates):
Ho1 0.0537 0.0537 0.0537  6 Os 3.06-3.19, 3 I 3.20
Ho2 0.9463 0.9463 0.9463  6 Os 3.06-3.19, 3 I 3.20
Os1 0.3362 0.3362 0.3362  3 Os 2.44
Os2 0.6638 0.6638 0.6638  3 Os 2.44
I1 0.2226 0.2226 0.2226  3 Ho 3.20
I2 0.7774 0.7774 0.7774  3 Ho 3.20

Calculated values
Crystal system = trigonal
Energy relative to the elements, uncorrected = -74.8 kJ/mol of atoms

=====

No. 9
## KHg2Os (PBE)

Data for a geometry-optimized KHg2Os structure.

a = 3.7107 Å, b = 3.7107 Å, c = 7.9515 Å
α = 90.00°, β = 90.00°, γ = 90.00°
Last column: nearest neighbours and their distance in Å.
Atoms (fractional coordinates):
K1 0.0000 0.0000 0.0000  5 Hg 3.28-3.59
Hg1 0.0000 0.0000 0.4121  4 Os 2.69
Hg2 0.5000 0.5000 0.6917  1 Os 2.82
Os1 0.5000 0.5000 0.3370  5 Hg 2.69-2.82

Calculated values
Energy of formation = 0.7768 eV/atom
Crystal system = tetragonal
E above lowest polymorph = 0.78 eV/f.u.

=====

No. 10
## SiAg2Rh (PBE)

Data for a geometry-optimized SiAg2Rh structure.

a = 2.8428 Å, b = 4.8263 Å, c = 9.4931 Å
α = 90.00°, β = 90.00°, γ = 90.00°
Last column: nearest neighbours and their distance in Å.
Atoms (fractional coordinates):
Si1 0.0000 0.0000 0.0000  4 Ag 2.75, 6 Si 2.80-2.84
Si2 0.5000 0.5000 0.0000  4 Ag 2.75, 6 Si 2.80-2.84
Ag1 0.0000 0.5000 0.2475  2 Si 2.75, 2 Rh 2.79, 6 Ag 2.80-2.84
Ag2 0.0000 0.5000 0.7525  2 Si 2.75, 2 Rh 2.79, 6 Ag 2.80-2.84
Ag3 0.5000 0.0000 0.2475  2 Si 2.75, 2 Rh 2.79, 6 Ag 2.80-2.84
Ag4 0.5000 0.0000 0.7525  2 Si 2.75, 2 Rh 2.79, 6 Ag 2.80-2.84
Rh1 0.0000 0.0000 0.5000  4 Ag 2.79, 6 Rh 2.80-2.84
Rh2 0.5000 0.5000 0.5000  4 Ag 2.79, 6 Rh 2.80-2.84

Calculated values
Crystal system = orthorhombic
Energy relative to the elements, uncorrected = 31.9 kJ/mol of atoms

=====

No. 11
## B5C7 (PBE)

Data for a geometry-optimized B5C7 structure.

a = 6.1360 Å, b = 6.1360 Å, c = 5.1918 Å
α = 100.14°, β = 100.14°, γ = 24.51°
Last column: nearest neighbours and their distance in Å.
Atoms (fractional coordinates):
B1 0.0000 0.0000 0.0000  3 C 1.56-1.60
B2 0.0237 0.0237 0.5985  1 C 1.65, 3 B 1.72-1.76
B3 0.1252 0.1252 0.4015  2 C 1.55, 1 B 1.72
B4 0.3457 0.3457 0.7454  3 C 1.59-1.62
B5 0.4306 0.4306 0.4771  1 C 1.56
C1 0.1136 0.1136 0.8788  2 C 1.57, 2 B 1.60-1.65
C2 0.3446 0.3446 0.2136  1 B 1.56, 3 C 1.56-1.58
C3 0.4301 0.4301 0.0191  3 B 1.56-1.59, 1 C 1.56
C4 0.6882 0.6882 0.9075  4 C 1.57-1.60
C5 0.6953 0.6953 0.3998  2 B 1.55, 2 C 1.55-1.56
C6 0.7649 0.7649 0.6851  2 C 1.56-1.60, 2 B 1.62
C7 0.7692 0.7692 0.1825  4 C 1.55-1.58

Calculated values
Energy of formation = 0.3788 eV/atom
Crystal system = monoclinic
E above lowest polymorph = 1.45 eV/f.u.

=====

No. 12
## AcPuNi2Sb2 (PBE)

Data for a geometry-optimized AcPuNi2Sb2 structure.

a = 4.4318 Å, b = 4.4318 Å, c = 8.3656 Å
α = 90.00°, β = 90.00°, γ = 120.00°
Last column: nearest neighbours and their distance in Å.
Atoms (fractional coordinates):
Ac1 0.0000 0.0000 0.0000  6 Sb 3.40, 6 Ni 3.51
Pu1 0.0000 0.0000 0.5000  6 Ni 3.12, 6 Sb 3.22
Ni1 0.3333 0.6667 0.7130  3 Sb 2.56
Ni2 0.6667 0.3333 0.2870  3 Sb 2.56
Sb1 0.3333 0.6667 0.2673  3 Ni 2.56
Sb2 0.6667 0.3333 0.7327  3 Ni 2.56

Calculated values
Crystal system = trigonal
Energy relative to the elements, uncorrected = -62.7 kJ/mol of atoms

=====

Asked for DOS(E_F) across the records above, the calculation gives 0.00; 5.01; 11.83; 36.02; 29.34; 10.13; 18.39; 3.27; 3.95; 6.30; 1.26; 13.96 states/eV/cell in order.
Asked for calculated total energy across the records above, the calculation gives -5.42; -5.82; -5.99; -6.10; -7.18; -7.60; -4.20; -6.56; -2.46; -4.29; -7.78; -7.02 eV per atom in order.
Asked for total moment across the records above, the calculation gives 0.0; 0.0; 0.6; 6.8; 18.9; 0.0; 0.6; 0.0; 0.3; 0.4; 0.0; 5.1 μB per formula unit in order.